Arrangement w

Computed, not measured: a relaxed VRhI2O crystal at the GGA+U level of DFT.

```
5
Lattice="5.653 0.000 0.000 0.000 5.653 0.000 0.000 0.000 3.760" Properties=species:S:1:pos:R:3 pbc="T T T"
V 0.000 0.000 0.000
Rh 2.826 2.826 1.880
I 0.000 2.826 1.880
I 2.826 0.000 1.880
O 2.826 2.826 0.000
```

ρ, g/cm³: 5.86


Arrangement x

Computed, not measured: a relaxed VRhI2O crystal at the GGA+U level of DFT.

```
5
Lattice="5.522 0.000 0.000 0.000 5.522 0.000 0.000 0.000 3.632" Properties=species:S:1:pos:R:3 pbc="T T T"
V 0.000 0.000 0.000
Rh 2.761 2.761 1.816
I 0.000 2.761 0.000
I 2.761 0.000 0.000
O 0.000 0.000 1.816
```

ρ, g/cm³: 6.35


Energies, relative to the best one, in meV per atom: arrangement w 196; arrangement x 0.


Arrangement w

Computed, not measured: a relaxed VRhIO2 crystal at the GGA+U level of DFT.

```
5
Lattice="3.899 0.000 0.000 0.000 3.899 0.000 0.000 0.000 6.469" Properties=species:S:1:pos:R:3 pbc="T T T"
V 0.000 0.000 0.000
Rh 1.950 1.950 3.234
I 1.950 1.950 0.000
O 0.000 1.950 3.234
O 1.950 0.000 3.234
```

ρ, g/cm³: 5.28


Arrangement x

Computed, not measured: a relaxed VRhIO2 crystal at the GGA+U level of DFT.

```
5
Lattice="3.719 0.000 0.000 0.000 3.719 0.000 0.000 0.000 6.149" Properties=species:S:1:pos:R:3 pbc="T T T"
V 0.000 0.000 0.000
Rh 1.860 1.860 3.075
I 0.000 0.000 3.075
O 0.000 1.860 0.000
O 1.860 0.000 0.000
```

ρ, g/cm³: 6.10


Energies, relative to the best one, in meV per atom: arrangement w 910; arrangement x 0.


Arrangement w

Computed, not measured: a relaxed RhWIO2 crystal at the GGA+U level of DFT.

```
5
Lattice="3.967 0.000 0.000 0.000 3.967 0.000 0.000 0.000 6.312" Properties=species:S:1:pos:R:3 pbc="T T T"
Rh 0.000 0.000 0.000
W 1.984 1.984 3.156
I 0.000 0.000 3.156
O 0.000 1.984 0.000
O 1.984 0.000 0.000
```

ρ, g/cm³: 7.45


Arrangement x

Computed, not measured: a relaxed RhWIO2 crystal at the GGA+U level of DFT.

```
5
Lattice="3.851 0.000 0.000 0.000 3.851 0.000 0.000 0.000 7.445" Properties=species:S:1:pos:R:3 pbc="T T T"
Rh 0.000 0.000 0.000
W 1.925 1.925 3.722
I 1.925 1.925 0.000
O 0.000 1.925 3.722
O 1.925 0.000 3.722
```

ρ, g/cm³: 6.70


Energies, relative to the best one, in meV per atom: arrangement w 1033; arrangement x 0.